First-principles (PBE-GGA) data for a relaxed AsPtS2Cl crystal, as listed in Alexandria via LeMat-Bulk.

Structure (CIF):
```
data_AsPtS2Cl
_cell_length_a 4.819
_cell_length_b 4.819
_cell_length_c 4.608
_cell_angle_alpha 90.00
_cell_angle_beta 90.00
_cell_angle_gamma 90.00
_symmetry_space_group_name_H-M 'P 4/m m m'
_symmetry_Int_Tables_number 123
_symmetry_space_group_name_Hall '-P 4 2'
loop_
_atom_site_label
_atom_site_type_symbol
_atom_site_fract_x
_atom_site_fract_y
_atom_site_fract_z
As1 As 0.000 0.000 0.000
Pt1 Pt 0.500 0.500 0.500
S1 S 0.000 0.500 0.000
Cl1 Cl 0.000 0.000 0.500
```

As for the density of states at the Fermi level: 5.45 states/eV/cell. For the energy, the calculation gives -3.276 eV per atom. As for the crystal system: tetragonal. The raw formation energy comes out at 0.88 eV/atom. Its energy above the most stable polymorph in this dataset is 1.78 eV/f.u.